1.
# La6YAg2 (PBE-GGA, optimized geometry)
# Formation energy from the elements (eV per atom): -0.110
# Total magnetic moment (μB per formula unit): 0.000
data_La6YAg2
_cell_length_a 13.0641
_cell_length_b 3.8052
_cell_length_c 12.2718
_cell_angle_alpha 90.00
_cell_angle_beta 107.83
_cell_angle_gamma 90.00
_symmetry_space_group_name_H-M 'C 1 2/m 1'
_symmetry_Int_Tables_number 12
_symmetry_space_group_name_Hall '-C 2y'
loop_
_atom_site_label
_atom_site_fract_x
_atom_site_fract_y
_atom_site_fract_z
La1 0.0268 0.0000 0.3319
La2 0.1865 0.5000 0.8761
La3 0.1910 0.5000 0.5941
Y1 0.0000 0.0000 0.0000
Ag1 0.1364 0.5000 0.1845



2.
# TcOsBr2 (PBE-GGA, optimized geometry)
# Distance to the lowest polymorph of the same formula (meV/atom): 1207.7
# Total magnetic moment (μB per formula unit): 0.929
data_TcOsBr2
_cell_length_a 6.6000
_cell_length_b 6.6000
_cell_length_c 6.6000
_cell_angle_alpha 90.00
_cell_angle_beta 90.00
_cell_angle_gamma 90.00
_symmetry_space_group_name_H-M 'F -4 3 m'
_symmetry_Int_Tables_number 216
_symmetry_space_group_name_Hall 'F -4 2 3'
loop_
_atom_site_label
_atom_site_fract_x
_atom_site_fract_y
_atom_site_fract_z
Tc1 0.0000 0.0000 0.0000
Os1 0.2500 0.2500 0.2500
Br1 0.0000 0.0000 0.5000
Br2 0.2500 0.2500 0.7500



3.
# BaCrAg2 (PBE-GGA, optimized geometry)
# Formation energy from the elements (eV per atom): 0.167
# Distance to the lowest polymorph of the same formula (meV/atom): 0.0
# Total magnetic moment (μB per formula unit): 4.572
data_BaCrAg2
_cell_length_a 4.7945
_cell_length_b 4.7945
_cell_length_c 16.9942
_cell_angle_alpha 90.00
_cell_angle_beta 90.00
_cell_angle_gamma 120.00
_symmetry_space_group_name_H-M 'R -3 m'
_symmetry_Int_Tables_number 166
_symmetry_space_group_name_Hall '-R 3 2"'
loop_
_atom_site_label
_atom_site_fract_x
_atom_site_fract_y
_atom_site_fract_z
Ba1 0.0000 0.0000 0.0000
Cr1 0.0000 0.0000 0.5000
Ag1 0.0000 0.0000 0.1984